A relaxed structure of AcMg2ZnPt2, computed with PBE-GGA.

Output
**Calculated total energy**: -23.73 eV/cell
**Volume**: 148 Å³ per cell
**D(E_F)**: 3.51 states/eV per cell

Geometry as extended XYZ:
```
6
Lattice="-2.602 2.602 5.455 2.602 -2.602 5.455 2.602 2.602 -5.455" Properties=species:S:1:pos:R:3 pbc="T T T"
Ac 0.000 0.000 0.000
Mg 2.602 0.000 2.727
Mg 0.000 2.602 2.727
Zn 0.000 0.000 5.455
Pt 0.000 0.000 3.006
Pt 0.000 0.000 7.903
```

A relaxed structure of AcMgZnPt, computed with PBE-GGA.

Output
**Energy above the lowest structure with this stoichiometry**: 0.0000 eV/atom
**Calculated total energy**: -15.67 eV/cell
**Volume**: 96 Å³ per cell
**D(E_F)**: 2.14 states/eV per cell

Geometry as extended XYZ:
```
4
Lattice="4.009 -2.320 0.000 4.009 2.320 0.000 -2.681 0.000 5.185" Properties=species:S:1:pos:R:3 pbc="T T T"
Ac 0.000 0.000 0.000
Mg 2.669 0.000 2.790
Zn 5.343 0.000 2.006
Pt -0.006 0.000 3.094
```

A relaxed structure of Ac2MgZn4Pt3, computed with PBE-GGA.

Output
**Calculated total energy**: -40.01 eV/cell
**Volume**: 211 Å³ per cell
**D(E_F)**: 5.31 states/eV per cell

Geometry as extended XYZ:
```
10
Lattice="4.214 0.000 0.000 0.000 4.214 0.000 0.000 0.000 11.873" Properties=species:S:1:pos:R:3 pbc="T T T"
Ac 0.000 2.107 2.797
Ac 2.107 0.000 9.076
Mg 0.000 0.000 5.937
Zn 0.000 0.000 0.000
Zn 0.000 2.107 7.577
Zn 2.107 0.000 4.297
Zn 2.107 2.107 0.000
Pt 0.000 2.107 10.243
Pt 2.107 0.000 1.630
Pt 2.107 2.107 5.937
```

A relaxed structure of AcMgZrPt2, computed with PBE-GGA.

Output
**Calculated total energy**: -30.81 eV/cell
**Volume**: 116 Å³ per cell
**D(E_F)**: 5.98 states/eV per cell

Geometry as extended XYZ:
```
5
Lattice="-2.182 2.182 6.113 2.182 -2.182 6.113 2.182 2.182 -6.113" Properties=species:S:1:pos:R:3 pbc="T T T"
Ac 0.000 0.000 0.000
Mg 0.000 2.182 3.056
Zr 2.182 0.000 3.056
Pt 0.000 0.000 4.725
Pt 0.000 0.000 7.501
```